1.
First-principles (GGA-PBE) data for an optimized crystal structure of Y3BeCd, as listed in Alexandria.

Structure (extended XYZ):
```
5
Lattice="-1.746 2.701 -4.120 -4.595 -2.468 0.329 -1.775 3.732 3.199" Properties=species:S:1:pos:R:3 pbc="T T T"
Y -2.298 -1.234 0.165
Y -0.888 1.866 1.600
Y -0.873 1.351 -2.060
Be 0.000 0.000 0.000
Cd -4.058 1.982 -0.296
```

Values from the calculation:
ΔE_f, eV per atom: 0.1778
Polymorph energy (0 for the lowest one), eV/atom: 0.000

=====

2.
First-principles (GGA-PBE) data for an optimized crystal structure of YBe2Cd, as listed in Alexandria.

Structure (extended XYZ):
```
4
Lattice="-5.956 -3.352 -2.527 2.404 -1.017 3.654 -2.987 0.007 1.958" Properties=species:S:1:pos:R:3 pbc="T T T"
Y -1.776 -2.185 0.564
Be 0.000 0.000 0.000
Be -4.472 -1.672 -0.284
Cd -0.292 -0.505 2.806
```

Values from the calculation:
ΔE_f, eV per atom: 0.2696